The following is a GGA+U calculation of MgV2O2 after structural relaxation, from the Alexandria database.

Unit cell a=6.1303 b=6.1303 c=3.8397 alpha=90.00 beta=90.00 gamma=90.00
Last column: nearest neighbours and their distance in Å.
Atoms (fractional coordinates):
Mg 0.0000 0.0000 0.0000  4 O 2.22
Mg 0.5000 0.5000 0.0000  4 O 2.22
V 0.1826 0.3174 0.5000  2 O 1.92
V 0.3174 0.8174 0.5000  2 O 1.92
V 0.6826 0.1826 0.5000  2 O 1.92
V 0.8174 0.6826 0.5000  2 O 1.92
O 0.1967 0.3033 0.0000  2 V 1.92
O 0.3033 0.8033 0.0000  2 V 1.92
O 0.6967 0.1967 0.0000  2 V 1.92
O 0.8033 0.6967 0.0000  2 V 1.92

Results
- size of the total moment (μB per atom) = 1.018
- energy relative to the lowest polymorph listed for this composition (meV/atom) = 0